The following is a GGA+U calculation of crystalline Zn3Mo2O9 at its relaxed geometry, from Alexandria via LeMat-Bulk.

```
data_Zn3Mo2O9
_cell_length_a 7.945
_cell_length_b 7.206
_cell_length_c 8.569
_cell_angle_alpha 90.00
_cell_angle_beta 117.43
_cell_angle_gamma 90.00
_space_group_name_H-M_alt 'P 1 21/m 1'
_space_group_IT_number 11
loop_
_space_group_symop_operation_xyz
'x,y,z'
'-x,-y,-z'
'-x,y+1/2,-z'
'x,-y+1/2,z'
loop_
_atom_site_label
_atom_site_fract_x
_atom_site_fract_y
_atom_site_fract_z
Zn1 0.000 0.000 0.000
Zn2 0.114 0.250 0.769
Zn3 0.352 0.250 0.209
Mo1 0.163 0.750 0.716
Mo2 0.452 0.750 0.298
O1 0.078 0.750 0.483
O2 0.079 0.548 0.784
O3 0.100 0.250 0.995
O4 0.305 0.548 0.203
O5 0.353 0.250 0.751
O6 0.417 0.750 0.822
O7 0.458 0.250 0.469
```

Values from the calculation:
The density comes out at 4.06 g/cm³. The energy is -168.079 eV for the cell shown. The calculated volume is 435 Å³ per cell. For the total magnetic moment, the calculation gives 0.00 μB/f.u.